# 1
Compound: NaH8IrPd2
Source: Alexandria
Functional: GGA-PBE
Structure: relaxed

Cell: 4.247 4.237 5.819 Å, 84.12 85.35 88.96°
Fractional coordinates of all 12 atoms:
H 0.383 0.335 0.504
H 0.617 0.665 0.496
H 0.201 0.783 0.799
H 0.152 0.747 0.214
H 0.799 0.217 0.201
H 0.299 0.258 0.045
H 0.848 0.253 0.786
H 0.701 0.742 0.955
Pd 0.484 0.477 0.762
Pd 0.516 0.523 0.238
Ir 0.000 0.000 0.000
Na 0.000 0.000 0.500

Properties
Calculated volume   8.65 Å³ per atom

***

# 2
Compound: NaCaSn2Te4
Source: Alexandria
Functional: GGA-PBE
Structure: relaxed

Cell: 4.415 7.988 7.741 Å, 71.47 90.00 90.00°
Fractional coordinates of all 8 atoms:
Ca 0.000 0.500 0.500
Te 0.000 0.760 0.740
Te 0.500 0.246 0.745
Te 0.500 0.754 0.255
Te 0.000 0.240 0.260
Na 0.500 0.500 0.000
Sn 0.500 0.000 0.500
Sn 0.000 0.000 0.000

Properties
Formation energy from raw total energies   -67.4 kJ per mole of atoms
Calculated volume   32.35 Å³ per atom

***

# 3
Compound: Sc2GeBrN
Source: Alexandria
Functional: GGA-PBE
Structure: relaxed

Cell: 4.962 4.912 4.962 Å, 90.00 90.00 90.00°
Fractional coordinates of all 5 atoms:
Sc 0.500 0.000 0.000
Sc 0.000 0.000 0.500
Br 0.000 0.000 0.000
Ge 0.000 0.500 0.000
N 0.500 0.500 0.500

Properties
Formation energy from raw total energies   121.4 kJ per mole of atoms
Calculated volume   24.18 Å³ per atom

***

# 4
Compound: Pm4Pr2DySc
Source: Alexandria
Functional: GGA-PBE
Structure: relaxed

Cell: 5.110 5.092 11.389 Å, 63.37 90.00 90.00°
Fractional coordinates of all 8 atoms:
Pm 0.000 0.245 0.255
Pm 0.000 0.755 0.745
Pm 0.500 0.254 0.746
Pm 0.500 0.746 0.254
Sc 0.000 0.500 0.500
Pr 0.500 0.000 0.500
Pr 0.000 0.000 0.000
Dy 0.500 0.500 0.000

Properties
Formation energy   0.0316 eV/atom
Calculated volume   33.12 Å³ per atom

***

no.,uncorrected energy (eV/atom)
1,-3.9408
2,-3.6853
3,-4.1971
4,-4.9053